VASP calculation (PBE-GGA) on a relaxed LiCa2YRh crystal.

Structure (POSCAR):
```
LiCa2YRh
1.0
-4.4324 -3.3361 -0.6082
3.2078 -3.8003 -2.5325
1.0487 -2.2515 4.7070
Y Ca Rh Li
1 2 1 1
Direct
0.0000 0.0000 0.5000
0.0000 0.5000 0.0000
0.5000 0.0000 0.0000
0.0000 0.0000 0.0000
0.5000 0.5000 0.5000
```

Results
ΔH_f (0 K): -184 meV per atom
Fermi-level density of states: 3.08 states/eV per cell